# 1
LaAsIr GGA-PBE optimized geometry; ΔE_f = -0.63 eV/atom; calculated total energy = -6.77 eV per atom; spin magnetization = 0.00 μB/f.u.
1.0
0.0000 3.2963 3.2963
3.2963 0.0000 3.2963
3.2963 3.2963 0.0000
La As Ir
1 1 1
Cartesian
0.0000 0.0000 0.0000 La
3.2963 3.2963 3.2963 As
4.9444 4.9444 4.9444 Ir

# 2
LaAs2Ir GGA-PBE optimized geometry; ΔE_f = -0.30 eV/atom; calculated total energy = -6.07 eV per atom; spin magnetization = 0.00 μB/f.u.
1.0
-2.1134 2.1134 4.6179
2.1134 -2.1134 4.6179
2.1134 2.1134 -4.6179
La As Ir
1 2 1
Cartesian
0.0000 0.0000 0.0000 La
2.1134 0.0000 2.3089 As
0.0000 0.0000 4.6179 As
0.0000 2.1134 2.3089 Ir

# 3
LaAs2Ir GGA-PBE optimized geometry; ΔE_f = -0.25 eV/atom; calculated total energy = -6.02 eV per atom; spin magnetization = 0.00 μB/f.u.
1.0
3.3195 0.0000 0.0000
0.0000 3.3195 0.0000
0.0000 0.0000 7.1928
La As Ir
1 2 1
Cartesian
0.0000 0.0000 0.0000 La
1.6598 1.6598 2.1845 As
1.6598 1.6598 5.0083 As
0.0000 0.0000 3.5964 Ir

# 4
LaAs2Ir GGA-PBE optimized geometry; ΔE_f = -0.33 eV/atom; calculated total energy = -6.11 eV per atom; spin magnetization = 0.00 μB/f.u.
1.0
0.0000 3.4260 3.4260
3.4260 0.0000 3.4260
3.4260 3.4260 0.0000
La As Ir
1 2 1
Cartesian
0.0000 0.0000 0.0000 La
1.7130 1.7130 1.7130 As
5.1391 5.1391 5.1391 As
3.4260 3.4260 3.4260 Ir

# 5
LaAsIr GGA-PBE optimized geometry; ΔE_f = -1.00 eV/atom; calculated total energy = -7.15 eV per atom; spin magnetization = 0.00 μB/f.u.
1.0
4.3073 0.0000 0.0000
-2.1537 3.7302 0.0000
0.0000 0.0000 4.1828
La As Ir
1 1 1
Cartesian
0.0000 0.0000 0.0000 La
2.1537 1.2434 2.0914 As
0.0000 2.4868 2.0914 Ir

# 6
LaAs2Ir GGA-PBE optimized geometry; ΔE_f = -0.35 eV/atom; calculated total energy = -6.13 eV per atom; spin magnetization = 0.00 μB/f.u.
1.0
3.6068 0.0000 0.0000
0.0000 3.6068 0.0000
0.0000 0.0000 6.4451
La As Ir
1 2 1
Cartesian
0.0000 0.0000 0.0000 La
0.0000 0.0000 3.3336 As
1.8034 1.8034 1.6600 As
1.8034 1.8034 4.1752 Ir

# 7
LaAsIr GGA-PBE optimized geometry; ΔE_f = -1.04 eV/atom; calculated total energy = -7.19 eV per atom; spin magnetization = 0.00 μB/f.u.
1.0
-2.1134 2.1134 7.5150
2.1134 -2.1134 7.5150
2.1134 2.1134 -7.5150
La As Ir
2 2 2
Cartesian
0.0000 0.0000 0.0000 La
0.0000 2.1134 3.7575 La
2.1134 0.0000 4.9633 As
0.0000 0.0000 8.7208 As
2.1134 0.0000 2.4840 Ir
0.0000 0.0000 6.2415 Ir

# 8
La2As2Ir GGA-PBE optimized geometry; ΔE_f = -0.92 eV/atom; calculated total energy = -6.52 eV per atom; spin magnetization = 0.00 μB/f.u.
1.0
6.9710 0.0000 0.0000
0.0000 6.9710 0.0000
0.0000 0.0000 4.6524
La As Ir
4 4 2
Cartesian
1.1930 2.2925 0.0000 La
2.2925 5.7779 0.0000 La
4.6785 1.1930 0.0000 La
5.7779 4.6785 0.0000 La
1.0096 4.4951 2.3262 As
2.4759 1.0096 2.3262 As
4.4951 5.9614 2.3262 As
5.9614 2.4759 2.3262 As
0.0000 0.0000 2.3262 Ir
3.4855 3.4855 2.3262 Ir

# 9
LaAs2Ir GGA-PBE optimized geometry; ΔE_f = -0.52 eV/atom; calculated total energy = -6.29 eV per atom; spin magnetization = 0.00 μB/f.u.
1.0
-2.3804 2.3804 8.4344
2.3804 -2.3804 8.4344
2.3804 2.3804 -8.4344
La As Ir
2 4 2
Cartesian
0.0000 0.0000 0.0000 La
0.0000 2.3804 4.2172 La
1.1902 -0.5733 6.3258 As
1.8072 1.1902 2.1086 As
1.1902 2.9537 -2.1086 As
0.5733 1.1902 10.5430 As
2.3804 0.0000 4.2172 Ir
0.0000 0.0000 8.4344 Ir

# 10
LaAs2Ir GGA-PBE optimized geometry; ΔE_f = -0.53 eV/atom; calculated total energy = -6.30 eV per atom; spin magnetization = 0.00 μB/f.u.
1.0
-1.8077 1.9211 6.2037
1.8077 -1.9211 6.2037
1.8077 1.9211 -6.2037
La As Ir
1 2 1
Cartesian
0.0000 0.0000 0.0000 La
0.0000 0.0000 4.7931 As
0.0000 1.9211 2.3465 As
1.8077 0.0000 3.1208 Ir

# 11
LaAs2Ir GGA-PBE optimized geometry; ΔE_f = -0.37 eV/atom; calculated total energy = -6.14 eV per atom; spin magnetization = 0.00 μB/f.u.
1.0
2.9737 -3.3184 0.0000
2.9737 3.3184 0.0000
0.0000 0.0000 4.1313
La As Ir
1 2 1
Cartesian
0.0000 0.0000 0.0000 La
1.4868 1.6592 2.0656 As
1.4868 -1.6592 2.0656 As
2.9737 0.0000 0.0000 Ir

# 12
LaAs2Ir GGA-PBE optimized geometry; ΔE_f = -0.16 eV/atom; calculated total energy = -5.93 eV per atom; spin magnetization = 0.00 μB/f.u.
1.0
0.0000 3.4730 3.4730
3.4730 0.0000 3.4730
3.4730 3.4730 0.0000
La As Ir
1 2 1
Cartesian
0.0000 0.0000 0.0000 La
1.7365 1.7365 1.7365 As
3.4730 3.4730 3.4730 As
5.2094 5.2094 5.2094 Ir

# 13
LaAs2Ir GGA-PBE optimized geometry; ΔE_f = -0.93 eV/atom; calculated total energy = -6.70 eV per atom; spin magnetization = 0.00 μB/f.u.
1.0
2.2240 -8.3235 0.0000
2.2240 8.3235 0.0000
0.0000 0.0000 4.5970
La As Ir
2 4 2
Cartesian
2.2240 6.5062 3.4477 La
2.2240 -6.5062 1.1492 La
2.2240 4.1267 1.1492 As
2.2240 0.6295 3.4477 As
2.2240 -0.6295 1.1492 As
2.2240 -4.1267 3.4477 As
2.2240 3.0855 3.4477 Ir
2.2240 -3.0855 1.1492 Ir

# 14
LaAsIr GGA-PBE optimized geometry; ΔE_f = -1.01 eV/atom; calculated total energy = -7.16 eV per atom; spin magnetization = 0.00 μB/f.u.
1.0
4.2860 0.0000 0.0000
-2.1430 3.7118 0.0000
0.0000 0.0000 12.6517
La As Ir
3 3 3
Cartesian
0.0000 0.0000 0.0000 La
0.0000 0.0000 4.1982 La
0.0000 0.0000 8.4535 La
0.0000 2.4745 6.3259 As
2.1430 1.2373 2.0297 As
2.1430 1.2373 10.6220 As
0.0000 2.4745 2.1920 Ir
0.0000 2.4745 10.4598 Ir
2.1430 1.2373 6.3259 Ir

# 15
LaAs2Ir GGA-PBE optimized geometry; ΔE_f = -0.84 eV/atom; calculated total energy = -6.62 eV per atom; spin magnetization = 0.00 μB/f.u.
1.0
2.0356 1.1752 6.0194
-2.0356 1.1752 6.0194
0.0000 -2.3505 6.0194
La As Ir
1 2 1
Cartesian
0.0000 0.0000 0.0000 La
0.0000 0.0000 3.8797 As
0.0000 0.0000 7.8254 As
0.0000 0.0000 14.7599 Ir

# 16
LaAs2Ir GGA-PBE optimized geometry; ΔE_f = -0.37 eV/atom; calculated total energy = -6.15 eV per atom; spin magnetization = 0.00 μB/f.u.
1.0
4.4016 0.0000 0.0000
0.0000 4.4016 0.0000
0.0000 0.0000 4.1852
La As Ir
1 2 1
Cartesian
0.0000 0.0000 0.0000 La
0.0000 2.2008 2.0926 As
2.2008 0.0000 2.0926 As
2.2008 2.2008 0.0000 Ir

# 17
LaAs2Ir GGA-PBE optimized geometry; ΔE_f = -0.75 eV/atom; calculated total energy = -6.52 eV per atom; spin magnetization = 0.00 μB/f.u.
1.0
4.0437 0.0000 0.0000
-1.8086 4.6844 0.0000
-1.8082 -0.9479 4.6003
La As Ir
1 2 1
Cartesian
0.0000 0.0000 0.0000 La
0.2139 0.7601 3.2059 As
0.2130 2.9763 1.3944 As
-1.8084 1.8682 2.3001 Ir

# 18
La3AsIr GGA-PBE optimized geometry; distance to the lowest polymorph of the same formula = 0 meV per atom; ΔE_f = -0.52 eV/atom; calculated total energy = -6.17 eV per atom; spin magnetization = 0.00 μB/f.u.
1.0
5.5400 0.0000 0.0000
0.0000 5.5400 0.0000
0.0000 0.0000 5.5400
La As Ir
3 1 1
Cartesian
0.0000 0.0000 2.7700 La
0.0000 2.7700 0.0000 La
2.7700 0.0000 0.0000 La
2.7700 2.7700 2.7700 As
0.0000 0.0000 0.0000 Ir

# 19
LaAs2Ir GGA-PBE optimized geometry; ΔE_f = -0.66 eV/atom; calculated total energy = -6.43 eV per atom; spin magnetization = 0.00 μB/f.u.
1.0
4.5177 0.0000 0.0000
0.0000 4.5267 0.0000
-0.1524 0.0000 4.5877
La As Ir
1 2 1
Cartesian
0.0000 0.0000 0.0000 La
2.2131 0.0000 2.3183 As
2.3337 2.2634 0.6780 As
1.4380 2.2634 3.0219 Ir

# 20
LaAsIr GGA-PBE optimized geometry; ΔE_f = -0.99 eV/atom; calculated total energy = -7.14 eV per atom; spin magnetization = 0.00 μB/f.u.
1.0
4.4805 0.0000 0.0000
-2.0420 5.4804 0.0000
-1.4188 -1.4867 5.4993
La As Ir
2 2 2
Cartesian
0.0000 0.0000 0.0000 La
-1.5053 1.7043 2.9650 La
0.7121 0.7326 5.0796 As
0.9721 4.0368 2.4860 As
-0.1336 3.2062 0.5249 Ir
0.7884 -0.6156 2.8637 Ir